Entry 1:
RbTlRu3 (PBE, relaxed); DFT formation energy = 2.789 eV/atom; final energy = -3.4432 eV per atom; symmetry = Pm-3m (221); crystal system = cubic; DOS(E_F) = 6.3 states/eV/cell
1.0
4.928 0.000 0.000
0.000 4.928 0.000
0.000 0.000 4.928
Rb Tl Ru
1 1 3
direct
0.000 0.000 0.000
0.500 0.500 0.500
0.000 0.000 0.500
0.000 0.500 0.000
0.500 0.000 0.000

---

Entry 2:
CrGaSiP2 (PBE, relaxed); final energy = -4.7740 eV per atom; formation energy (no corrections) = 1.005 eV/atom; symmetry = P4/mmm (123); crystal system = tetragonal; DOS(E_F) = 6.0 states/eV/cell
1.0
4.516 0.000 0.000
0.000 4.516 0.000
0.000 0.000 4.503
Cr Ga Si P
1 1 1 2
direct
0.000 0.000 0.000
0.500 0.500 0.000
0.000 0.000 0.500
0.000 0.500 0.500
0.500 0.000 0.500

---

Entry 3:
Ac2SbI (PBE, relaxed); final energy = -4.5528 eV per atom; formation energy (no corrections) = -1.080 eV/atom; symmetry = R3m (160); crystal system = trigonal; DOS(E_F) = 1.8 states/eV/cell
1.0
2.325 1.342 8.446
-2.325 1.342 8.446
0.000 -2.685 8.446
Ac Sb I
2 1 1
direct
0.000 0.000 0.000
0.188 0.188 0.188
0.593 0.593 0.593
0.761 0.761 0.761

---

Entry 4:
Na3Ac2BiS6 (PBE, relaxed); final energy = -4.8621 eV per atom; formation energy (no corrections) = -1.460 eV/atom; symmetry = C2/m (12); crystal system = monoclinic; DOS(E_F) = 0.0 states/eV/cell
1.0
3.692 -6.402 0.000
3.692 6.402 0.000
-2.437 0.000 6.760
Na Ac Bi S
3 2 1 6
direct
0.000 0.000 0.000
0.342 0.658 0.000
0.658 0.342 0.000
0.167 0.833 0.500
0.833 0.167 0.500
0.500 0.500 0.500
0.099 0.420 0.260
0.256 0.256 0.736
0.420 0.099 0.260
0.580 0.901 0.740
0.744 0.744 0.264
0.901 0.580 0.740

---

Entry 5:
CuHgSe2 (PBE, relaxed); final energy = -2.8717 eV per atom; formation energy (no corrections) = -0.030 eV/atom; symmetry = Pnma (62); crystal system = orthorhombic; DOS(E_F) = 5.8 states/eV/cell
1.0
8.484 0.000 0.000
0.000 3.766 0.000
0.000 0.000 12.032
Cu Hg Se
4 4 8
direct
0.246 0.250 0.172
0.254 0.750 0.672
0.746 0.250 0.328
0.754 0.750 0.828
0.120 0.250 0.942
0.380 0.750 0.442
0.620 0.250 0.558
0.880 0.750 0.058
0.114 0.250 0.598
0.119 0.750 0.263
0.381 0.250 0.763
0.386 0.750 0.098
0.614 0.250 0.902
0.619 0.750 0.237
0.881 0.250 0.737
0.886 0.750 0.402

---

Entry 6:
Ba3Pt (PBE, relaxed); DFT formation energy = -0.454 eV/atom; final energy = -3.4062 eV per atom; symmetry = Pnma (62); crystal system = orthorhombic; DOS(E_F) = 12.8 states/eV/cell
1.0
8.347 0.000 0.000
0.000 11.567 0.000
0.000 0.000 7.485
Ba Pt
12 4
direct
0.054 0.250 0.171
0.167 0.078 0.683
0.167 0.422 0.683
0.333 0.578 0.183
0.333 0.922 0.183
0.446 0.750 0.671
0.554 0.250 0.329
0.667 0.078 0.817
0.667 0.422 0.817
0.833 0.578 0.317
0.833 0.922 0.317
0.946 0.750 0.829
0.118 0.750 0.440
0.382 0.250 0.940
0.618 0.750 0.060
0.882 0.250 0.560

---

Entry 7:
NdBPdRh2 (PBE, relaxed); DFT formation energy = -0.722 eV/atom; final energy = -6.9906 eV per atom; symmetry = P4/mmm (123); crystal system = tetragonal; DOS(E_F) = 0.4 states/eV/cell
1.0
4.278 0.000 0.000
0.000 4.278 0.000
0.000 0.000 4.301
Nd B Pd Rh
1 1 1 2
direct
0.000 0.000 0.000
0.500 0.500 0.500
0.500 0.500 0.000
0.000 0.500 0.500
0.500 0.000 0.500

---

Entry 8:
AlSn2Au2 (PBE, relaxed); DFT formation energy = 0.100 eV/atom; final energy = -3.5601 eV per atom; symmetry = P4/mbm (127); crystal system = tetragonal; DOS(E_F) = 3.4 states/eV/cell
1.0
7.874 0.000 0.000
0.000 7.874 0.000
0.000 0.000 3.728
Al Sn Au
2 4 4
direct
0.000 0.000 0.000
0.500 0.500 0.000
0.172 0.328 0.000
0.328 0.828 0.000
0.672 0.172 0.000
0.828 0.672 0.000
0.131 0.631 0.500
0.369 0.131 0.500
0.631 0.869 0.500
0.869 0.369 0.500

---

Entry 9:
Pm12Ge7Au (PBE, relaxed); DFT formation energy = -0.471 eV/atom; final energy = -5.1010 eV per atom; symmetry = R-3 (148); crystal system = trigonal; DOS(E_F) = 19.1 states/eV/cell
1.0
7.421 4.285 3.032
-7.421 4.285 3.032
0.000 -8.569 3.032
Pm Ge Au
12 7 1
direct
0.092 0.394 0.312
0.141 0.285 0.665
0.285 0.665 0.141
0.312 0.092 0.394
0.335 0.859 0.715
0.394 0.312 0.092
0.606 0.688 0.908
0.665 0.141 0.285
0.688 0.908 0.606
0.715 0.335 0.859
0.859 0.715 0.335
0.908 0.606 0.688
0.027 0.277 0.933
0.067 0.973 0.723
0.277 0.933 0.027
0.500 0.500 0.500
0.723 0.067 0.973
0.933 0.027 0.277
0.973 0.723 0.067
0.000 0.000 0.000

---

Entry 10:
ScHgRu (PBE, relaxed); DFT formation energy = -0.049 eV/atom; final energy = -5.3517 eV per atom; symmetry = P-6m2 (187); crystal system = hexagonal; DOS(E_F) = 1.5 states/eV/cell
1.0
4.475 0.000 0.000
-2.237 3.875 0.000
0.000 0.000 3.207
Sc Hg Ru
1 1 1
direct
0.000 0.000 0.000
0.667 0.333 0.500
0.333 0.667 0.000

---

Entry 11:
BaNa2AlTe (PBE, relaxed); final energy = -2.4841 eV per atom; formation energy (no corrections) = -0.195 eV/atom; symmetry = P4/mmm (123); crystal system = tetragonal; DOS(E_F) = 4.5 states/eV/cell
1.0
5.741 0.000 0.000
0.000 5.741 0.000
0.000 0.000 6.796
Ba Na Al Te
1 2 1 1
direct
0.000 0.000 0.000
0.000 0.500 0.500
0.500 0.000 0.500
0.500 0.500 0.000
0.000 0.000 0.500

---

Entry 12:
YSiSn (PBE, relaxed); final energy = -5.8696 eV per atom; formation energy (no corrections) = -0.573 eV/atom; symmetry = Cmcm (63); crystal system = orthorhombic; DOS(E_F) = 2.7 states/eV/cell
1.0
2.144 -8.202 0.000
2.144 8.202 0.000
0.000 0.000 3.962
Y Si Sn
2 2 2
direct
0.094 0.906 0.750
0.906 0.094 0.250
0.454 0.546 0.750
0.546 0.454 0.250
0.258 0.742 0.250
0.742 0.258 0.750